a | Computed, not measured: a relaxed structure of RbInSn3 at the PBE level of DFT.

The value obtained for the mass density is 5.543 Mg/m³. The value obtained for the density of states at the Fermi level is 3.50 states/eV per cell.

```
data_RbInSn3
_symmetry_space_group_name_H-M 'P 1'
_symmetry_Int_Tables_number 1
_cell_length_a 6.887
_cell_length_b 6.939
_cell_length_c 6.975
_cell_angle_alpha 90.00
_cell_angle_beta 89.95
_cell_angle_gamma 89.95
loop_
_symmetry_equiv_pos_as_xyz
'x,y,z'
loop_
_atom_site_label
_atom_site_type_symbol
_atom_site_fract_x
_atom_site_fract_y
_atom_site_fract_z
Rb1 Rb 0.000 0.000 0.000
Rb2 Rb 0.500 0.495 0.500
In1 In 0.000 0.641 0.343
In2 In 0.500 0.854 0.843
Sn1 Sn 0.000 0.344 0.641
Sn2 Sn 0.249 0.994 0.493
Sn3 Sn 0.251 0.501 0.993
Sn4 Sn 0.500 0.152 0.141
Sn5 Sn 0.749 0.501 0.993
Sn6 Sn 0.751 0.995 0.493
```


b | Computed, not measured: a relaxed structure of RbInSn3 at the PBE level of DFT.

The value obtained for the mass density is 5.523 Mg/m³. The value obtained for the density of states at the Fermi level is 5.79 states/eV per cell.

```
data_RbInSn3
_symmetry_space_group_name_H-M 'F m m 2'
_symmetry_Int_Tables_number 42
_symmetry_space_group_name_Hall 'F 2 -2'
_cell_length_a 7.589
_cell_length_b 7.600
_cell_length_c 11.602
_cell_angle_alpha 90.00
_cell_angle_beta 90.00
_cell_angle_gamma 90.00
loop_
_atom_site_label
_atom_site_type_symbol
_atom_site_fract_x
_atom_site_fract_y
_atom_site_fract_z
Rb1 Rb 0.000 0.000 0.000
In1 In 0.000 0.000 0.372
Sn1 Sn 0.000 0.000 0.625
Sn2 Sn 0.250 0.250 0.249
```


Least stable structure: a


a | Computed, not measured: a relaxed structure of Rb2InSn3 at the PBE level of DFT.

The value obtained for the mass density is 4.295 Mg/m³. The value obtained for the density of states at the Fermi level is 22.77 states/eV per cell.

```
data_Rb2InSn3
_symmetry_space_group_name_H-M 'F m m m'
_symmetry_Int_Tables_number 69
_symmetry_space_group_name_Hall '-F 2 2'
_cell_length_a 9.932
_cell_length_b 11.748
_cell_length_c 17.016
_cell_angle_alpha 90.00
_cell_angle_beta 90.00
_cell_angle_gamma 90.00
loop_
_atom_site_label
_atom_site_type_symbol
_atom_site_fract_x
_atom_site_fract_y
_atom_site_fract_z
Rb1 Rb 0.000 0.247 0.000
Rb2 Rb 0.250 0.250 0.250
In1 In 0.000 0.000 0.333
Sn1 Sn 0.000 0.000 0.167
Sn2 Sn 0.248 0.000 0.416
```


b | Computed, not measured: a relaxed structure of Rb2InSn3 at the PBE level of DFT.

The value obtained for the mass density is 4.384 Mg/m³. The value obtained for the density of states at the Fermi level is 5.27 states/eV per cell.

```
data_Rb2InSn3
_symmetry_space_group_name_H-M 'C 1 m 1'
_symmetry_Int_Tables_number 8
_cell_length_a 14.578
_cell_length_b 4.855
_cell_length_c 8.385
_cell_angle_alpha 90.00
_cell_angle_beta 124.98
_cell_angle_gamma 90.00
loop_
_symmetry_equiv_pos_as_xyz
'x,y,z'
'x,-y,z'
'x+1/2,y+1/2,z'
'x+1/2,-y+1/2,z'
loop_
_atom_site_label
_atom_site_type_symbol
_atom_site_fract_x
_atom_site_fract_y
_atom_site_fract_z
Rb1 Rb 0.000 0.000 0.000
Rb2 Rb 0.004 0.500 0.507
In1 In 0.272 0.500 0.442
Sn1 Sn 0.221 0.500 0.056
Sn2 Sn 0.225 0.000 0.560
Sn3 Sn 0.289 0.000 0.958
```


Least stable structure: a


a | Computed, not measured: a relaxed structure of Rb3InSn at the PBE level of DFT.

The value obtained for the mass density is 3.043 Mg/m³. The value obtained for the density of states at the Fermi level is 17.28 states/eV per cell.

```
data_Rb3InSn
_symmetry_space_group_name_H-M 'C 1 2/m 1'
_symmetry_Int_Tables_number 12
_cell_length_a 12.233
_cell_length_b 11.385
_cell_length_c 9.422
_cell_angle_alpha 90.00
_cell_angle_beta 125.43
_cell_angle_gamma 90.00
loop_
_symmetry_equiv_pos_as_xyz
'x,y,z'
'-x,-y,-z'
'-x,y,-z'
'x,-y,z'
'x+1/2,y+1/2,z'
'-x+1/2,-y+1/2,-z'
'-x+1/2,y+1/2,-z'
'x+1/2,-y+1/2,z'
loop_
_atom_site_label
_atom_site_type_symbol
_atom_site_fract_x
_atom_site_fract_y
_atom_site_fract_z
Rb1 Rb 0.004 0.000 0.276
Rb2 Rb 0.216 0.301 0.745
In1 In 0.120 0.500 0.337
Sn1 Sn 0.130 0.500 0.019
```


b | Computed, not measured: a relaxed structure of Rb3InSn at the PBE level of DFT.

The value obtained for the mass density is 2.310 Mg/m³. The value obtained for the density of states at the Fermi level is 9.84 states/eV per cell.

```
data_Rb3InSn
_symmetry_space_group_name_H-M 'P m -3 m'
_symmetry_Int_Tables_number 221
_symmetry_space_group_name_Hall '-P 4 2 3'
_cell_length_a 7.062
_cell_length_b 7.062
_cell_length_c 7.062
_cell_angle_alpha 90.00
_cell_angle_beta 90.00
_cell_angle_gamma 90.00
loop_
_atom_site_label
_atom_site_type_symbol
_atom_site_fract_x
_atom_site_fract_y
_atom_site_fract_z
Rb1 Rb 0.000 0.000 0.500
In1 In 0.500 0.500 0.500
Sn1 Sn 0.000 0.000 0.000
```


Least stable structure: b


a | Computed, not measured: a relaxed structure of Rb3In2Sn4 at the PBE level of DFT.

The value obtained for the mass density is 4.360 Mg/m³. The value obtained for the density of states at the Fermi level is 6.32 states/eV per cell.

```
data_Rb3In2Sn4
_symmetry_space_group_name_H-M 'C 1 2/m 1'
_symmetry_Int_Tables_number 12
_cell_length_a 14.550
_cell_length_b 4.887
_cell_length_c 10.293
_cell_angle_alpha 90.00
_cell_angle_beta 90.44
_cell_angle_gamma 90.00
loop_
_symmetry_equiv_pos_as_xyz
'x,y,z'
'-x,-y,-z'
'-x,y,-z'
'x,-y,z'
'x+1/2,y+1/2,z'
'-x+1/2,-y+1/2,-z'
'-x+1/2,y+1/2,-z'
'x+1/2,-y+1/2,z'
loop_
_atom_site_label
_atom_site_type_symbol
_atom_site_fract_x
_atom_site_fract_y
_atom_site_fract_z
Rb1 Rb 0.000 0.000 0.000
Rb2 Rb 0.164 0.500 0.665
In1 In 0.098 0.500 0.266
Sn1 Sn 0.071 0.000 0.403
Sn2 Sn 0.242 0.500 0.077
```


b | Computed, not measured: a relaxed structure of Rb3In2Sn4 at the PBE level of DFT.

The value obtained for the mass density is 4.606 Mg/m³. The value obtained for the density of states at the Fermi level is 4.97 states/eV per cell.

```
data_Rb3In2Sn4
_symmetry_space_group_name_H-M 'P -1'
_symmetry_Int_Tables_number 2
_cell_length_a 5.207
_cell_length_b 7.435
_cell_length_c 10.270
_cell_angle_alpha 69.76
_cell_angle_beta 75.89
_cell_angle_gamma 69.72
loop_
_symmetry_equiv_pos_as_xyz
'x,y,z'
'-x,-y,-z'
loop_
_atom_site_label
_atom_site_type_symbol
_atom_site_fract_x
_atom_site_fract_y
_atom_site_fract_z
Rb1 Rb 0.000 0.000 0.000
Rb2 Rb 0.376 0.879 0.362
In1 In 0.304 0.660 0.750
Sn1 Sn 0.073 0.479 0.353
Sn2 Sn 0.291 0.368 0.052
```


Least stable structure: b


a | Computed, not measured: a relaxed structure of RbIn4Sn at the PBE level of DFT.

The value obtained for the mass density is 5.868 Mg/m³. The value obtained for the density of states at the Fermi level is 17.04 states/eV per cell.

```
data_RbIn4Sn
_symmetry_space_group_name_H-M 'F -4 3 m'
_symmetry_Int_Tables_number 216
_symmetry_space_group_name_Hall 'F -4 2 3'
_cell_length_a 9.090
_cell_length_b 9.090
_cell_length_c 9.090
_cell_angle_alpha 90.00
_cell_angle_beta 90.00
_cell_angle_gamma 90.00
loop_
_atom_site_label
_atom_site_type_symbol
_atom_site_fract_x
_atom_site_fract_y
_atom_site_fract_z
Rb1 Rb 0.000 0.000 0.000
In1 In 0.125 0.125 0.375
Sn1 Sn 0.250 0.250 0.750
```


b | Computed, not measured: a relaxed structure of RbIn4Sn at the PBE level of DFT.

The value obtained for the mass density is 5.474 Mg/m³. The value obtained for the density of states at the Fermi level is 11.34 states/eV per cell.

```
data_RbIn4Sn
_symmetry_space_group_name_H-M 'C m c m'
_symmetry_Int_Tables_number 63
_symmetry_space_group_name_Hall '-C 2c 2'
_cell_length_a 5.002
_cell_length_b 24.796
_cell_length_c 6.490
_cell_angle_alpha 90.00
_cell_angle_beta 90.00
_cell_angle_gamma 90.00
loop_
_atom_site_label
_atom_site_type_symbol
_atom_site_fract_x
_atom_site_fract_y
_atom_site_fract_z
Rb1 Rb 0.000 0.119 0.250
In1 In 0.000 0.044 0.750
In2 In 0.000 0.281 0.512
In3 In 0.000 0.500 0.000
Sn1 Sn 0.000 0.380 0.250
```


c | Computed, not measured: a relaxed structure of RbIn4Sn at the PBE level of DFT.

The value obtained for the mass density is 5.737 Mg/m³. The value obtained for the density of states at the Fermi level is 9.46 states/eV per cell.

```
data_RbIn4Sn
_symmetry_space_group_name_H-M 'C m c m'
_symmetry_Int_Tables_number 63
_symmetry_space_group_name_Hall '-C 2c 2'
_cell_length_a 4.851
_cell_length_b 18.989
_cell_length_c 8.338
_cell_angle_alpha 90.00
_cell_angle_beta 90.00
_cell_angle_gamma 90.00
loop_
_atom_site_label
_atom_site_type_symbol
_atom_site_fract_x
_atom_site_fract_y
_atom_site_fract_z
Rb1 Rb 0.000 0.125 0.250
In1 In 0.000 0.061 0.750
In2 In 0.000 0.333 0.052
In3 In 0.000 0.500 0.000
Sn1 Sn 0.000 0.225 0.750
```


Least stable structure: a